# 1
Compound: LiCuPdO4
Source: Alexandria
Functional: GGA-PBE
Structure: relaxed

Calculated values
- N(E_F): 6.560 states/eV per cell
- Raw formation energy: -0.79 eV/atom
- Raw total energy: -146.13 eV per cell
- Calculated density: 5.2 g cm⁻³
- Crystal system: orthorhombic

a = 5.8919 Å, b = 6.0708 Å, c = 8.5967 Å
α = 90.00°, β = 90.00°, γ = 90.00°
Closest atoms and distances in Å follow each position.
Space group Imma (No. 74)
Inequivalent atoms, fractional coordinates:
Li 0.0000 0.2500 0.1364 [4 per cell]  4 O 2.02-2.04
Cu 0.2500 0.2500 0.7500 [4 per cell]  6 O 2.00-2.07
Pd 0.0000 0.0000 0.5000 [4 per cell]  6 O 2.03
O 0.0000 0.0278 0.7350 [8 per cell]  2 Cu 2.00, 1 Li 2.02, 1 Pd 2.03
O 0.2283 0.2500 0.5098 [8 per cell]  2 Pd 2.03, 1 Li 2.04, 1 Cu 2.07

=====

# 2
Compound: Li2CuPdO4
Source: Alexandria
Functional: GGA-PBE
Structure: relaxed

Calculated values
- N(E_F): 1.120 states/eV per cell
- Raw formation energy: -1.05 eV/atom
- Raw total energy: -41.38 eV per cell
- Calculated density: 5.1 g cm⁻³
- Crystal system: monoclinic

a = 5.4017 Å, b = 2.9194 Å, c = 5.6725 Å
α = 90.00°, β = 116.62°, γ = 90.00°
Closest atoms and distances in Å follow each position.
Space group P2/m (No. 10)
Inequivalent atoms, fractional coordinates:
Li 0.0000 0.0000 0.0000 [1 per cell]  6 O 2.10-2.18
Li 0.5000 0.5000 0.5000 [1 per cell]  4 O 2.08
Cu 0.0000 0.0000 0.5000 [1 per cell]  4 O 1.97
Pd 0.5000 0.5000 0.0000 [1 per cell]  6 O 2.04-2.06
O 0.0799 0.5000 0.7558 [2 per cell]  2 Cu 1.97, 1 Pd 2.06, 2 Li 2.18
O 0.4335 0.0000 0.2169 [2 per cell]  2 Pd 2.04, 3 Li 2.08-2.10

=====

# 3
Compound: Li3CuPd2O6
Source: Alexandria
Functional: GGA-PBE
Structure: relaxed

Calculated values
- N(E_F): 11.439 states/eV per cell
- Raw formation energy: -0.99 eV/atom
- Raw total energy: -123.61 eV per cell
- Calculated density: 5.5 g cm⁻³
- Crystal system: monoclinic

a = 5.4334 Å, b = 9.0699 Å, c = 5.2173 Å
α = 90.00°, β = 112.35°, γ = 90.00°
Closest atoms and distances in Å follow each position.
Space group C2/m (No. 12)
Inequivalent atoms, fractional coordinates:
Li 0.0000 0.0000 0.0000 [2 per cell]  6 O 2.07-2.19
Li 0.0000 0.3360 0.0000 [4 per cell]  6 O 2.16-2.31
Cu 0.0000 0.5000 0.5000 [2 per cell]  4 O 2.08
Pd 0.0000 0.1654 0.5000 [4 per cell]  6 O 2.06-2.12
O 0.2224 0.0000 0.7536 [4 per cell]  2 Pd 2.06, 3 Li 2.07-2.16
O 0.2472 0.3313 0.7255 [8 per cell]  2 Pd 2.06-2.12, 1 Cu 2.08, 3 Li 2.18-2.31

=====

# 4
Compound: Li4CuPd3O8
Source: Alexandria
Functional: GGA-PBE
Structure: relaxed

Calculated values
- N(E_F): 0.711 states/eV per cell
- Raw formation energy: -1.03 eV/atom
- Raw total energy: -167.00 eV per cell
- Calculated density: 5.4 g cm⁻³
- Crystal system: monoclinic

a = 10.9272 Å, b = 5.8853 Å, c = 5.5869 Å
α = 90.00°, β = 112.50°, γ = 90.00°
Closest atoms and distances in Å follow each position.
Space group C2/m (No. 12)
Inequivalent atoms, fractional coordinates:
Li 0.0000 0.0000 0.0000 [2 per cell]  6 O 2.07-2.17
Li 0.0000 0.5000 0.0000 [2 per cell]  6 O 2.11-2.23
Li 0.2500 0.2500 0.5000 [4 per cell]  4 O 2.10-2.12
Cu 0.0000 0.0000 0.5000 [2 per cell]  4 O 1.97
Pd 0.0000 0.5000 0.5000 [2 per cell]  4 O 2.03
Pd 0.2500 0.2500 0.0000 [4 per cell]  6 O 2.05-2.06
O 0.0520 0.2431 0.7618 [8 per cell]  1 Cu 1.97, 2 Pd 2.03-2.06, 1 Li 2.17
O 0.2031 0.0000 0.2056 [4 per cell]  2 Pd 2.05, 3 Li 2.07-2.12
O 0.2070 0.5000 0.2099 [4 per cell]  2 Pd 2.05, 3 Li 2.10-2.11

=====

# 5
Compound: LiPm2CuO5
Source: Alexandria
Functional: GGA-PBE
Structure: relaxed

Calculated values
- Raw formation energy: -2.23 eV/atom
- Raw total energy: -120.70 eV per cell
- Calculated density: 5.9 g cm⁻³
- Crystal system: tetragonal

a = 6.6749 Å, b = 6.6749 Å, c = 5.5644 Å
α = 90.00°, β = 90.00°, γ = 90.00°
Closest atoms and distances in Å follow each position.
Space group P4/mbm (No. 127)
Inequivalent atoms, fractional coordinates:
Li 0.0000 0.0000 0.0000 [2 per cell]  10 O 2.78-2.93
Pm 0.1771 0.3229 0.5000 [4 per cell]  8 O 2.31-2.54
Cu 0.0000 0.5000 0.0000 [2 per cell]  4 O 1.83
O 0.0000 0.0000 0.5000 [2 per cell]  4 Pm 2.46
O 0.1324 0.6324 0.2395 [8 per cell]  1 Cu 1.83

=====

# 6
Compound: LiPm2CuO6
Source: Alexandria
Functional: GGA-PBE
Structure: relaxed

Calculated values
- Raw formation energy: -2.07 eV/atom
- Raw total energy: -131.97 eV per cell
- Calculated density: 6.7 g cm⁻³
- Crystal system: monoclinic

a = 5.3551 Å, b = 5.5696 Å, c = 9.2939 Å
α = 90.00°, β = 125.03°, γ = 90.00°
Closest atoms and distances in Å follow each position.
Space group P2_1/c (No. 14)
Inequivalent atoms, fractional coordinates:
Li 0.0000 0.0000 0.0000 [2 per cell]  6 O 2.01-2.07
Pm 0.2352 0.0610 0.7490 [4 per cell]  7 O 2.37-2.63
Cu 0.5000 0.0000 0.5000 [2 per cell]  6 O 1.89-1.91
O 0.1750 0.1969 0.4592 [4 per cell]  1 Cu 1.90, 1 Li 2.07
O 0.2613 0.7190 0.4566 [4 per cell]  1 Cu 1.91, 1 Li 2.06
O 0.3371 0.0176 0.2583 [4 per cell]  1 Cu 1.89, 1 Li 2.01

=====

# 7
Compound: Li2Pr2CuO6
Source: Alexandria
Functional: GGA-PBE
Structure: relaxed

Calculated values
- N(E_F): 11.181 states/eV per cell
- Raw formation energy: -1.88 eV/atom
- Raw total energy: -203.85 eV per cell
- Calculated density: 5.8 g cm⁻³
- Crystal system: trigonal

a = 5.5870 Å, b = 5.5870 Å, c = 14.3575 Å
α = 90.00°, β = 90.00°, γ = 120.00°
Closest atoms and distances in Å follow each position.
Space group R-3m (No. 166, hexagonal axes)
Inequivalent atoms, fractional coordinates:
Li 0.0000 0.0000 0.0743 [6 per cell]  3 O 1.75
Pr 0.0000 0.0000 0.2793 [6 per cell]  3 O 2.42
Cu 0.0000 0.0000 0.5000 [3 per cell]  6 O 1.94
O 0.0284 0.5142 0.2539 [18 per cell]  1 Li 1.75, 1 Cu 1.94

=====

# 8
Compound: LiPr2Cu2O6
Source: Alexandria
Functional: GGA-PBE
Structure: relaxed

Calculated values
- N(E_F): 18.565 states/eV per cell
- Raw formation energy: -1.63 eV/atom
- Raw total energy: -202.03 eV per cell
- Calculated density: 5.8 g cm⁻³
- Crystal system: trigonal

a = 5.6470 Å, b = 5.6470 Å, c = 15.9950 Å
α = 90.00°, β = 90.00°, γ = 120.00°
Closest atoms and distances in Å follow each position.
Space group R-3m (No. 166, hexagonal axes)
Inequivalent atoms, fractional coordinates:
Li 0.0000 0.0000 0.0000 [3 per cell]  6 O 2.08
Pr 0.0000 0.0000 0.2112 [6 per cell]  3 O 2.39
Cu 0.0000 0.0000 0.4188 [6 per cell]  3 O 1.81
O 0.0354 0.5177 0.7597 [18 per cell]  1 Cu 1.81

=====

Question: What is the formula in the third record?
Answer: Li3CuPd2O6

=====

Question: Look up the raw total energy of the eighth one.
Answer: -202.03 eV per cell

=====

Question: What is the raw formation energy in the sixth record?
Answer: -2.07 eV/atom

=====

Question: What is the formula in the first record?
Answer: LiCuPdO4